The following is a DFT calculation (PBE) of an optimized crystal structure of Ce5TlIr2.

Computed properties:
* relative energy among the computed polymorphs: 0.0000 eV/atom
* calculated volume: 26.4 Å³/atom
* ΔE_f: -484 meV/atom
* space-group type: I4/mcm (140)

Cell lengths 7.890, 7.890, 8.790 Å; angles 116.67, 116.67, 90.00 degrees
Sites, in units of the cell vectors:
Ce 0.977 0.477 0.272
Ce 0.477 0.295 0.272
Ce 0.000 0.000 0.000
Ce 0.205 0.023 0.728
Ce 0.705 0.205 0.728
Ce 0.295 0.795 0.272
Ce 0.523 0.705 0.728
Ir 0.359 0.859 0.000
Ir 0.141 0.359 0.000
Ce 0.500 0.500 0.000
Ir 0.641 0.141 0.000
Tl 0.750 0.750 0.500
Ce 0.023 0.523 0.728
Ce 0.795 0.977 0.272
Ir 0.859 0.641 0.000
Tl 0.250 0.250 0.500